## LiVSnO5 (PBE+U)

Data for a geometry-optimized LiVSnO5 structure.

Values from the calculation:
* calculated density: 4.1 Mg/m³
* N(E_F): 0.0 states/eV per cell
* VASP energy: -6.583 eV per atom
* calculated volume: 104.26 Å³/f.u.

a b c (Å): 5.757 5.757 7.354
angles (deg): 102.49 102.49 111.94
Fractional positions:
Li: 0.287 0.713 0.250
Li: 0.713 0.287 0.750
V: 0.699 0.301 0.250
V: 0.301 0.699 0.750
Sn: 0.000 0.000 0.500
Sn: 0.000 0.000 0.000
O: 0.085 0.915 0.250
O: 0.915 0.085 0.750
O: 0.955 0.338 0.146
O: 0.045 0.662 0.854
O: 0.662 0.045 0.354
O: 0.338 0.955 0.646
O: 0.773 0.589 0.432
O: 0.227 0.411 0.568
O: 0.411 0.227 0.068
O: 0.589 0.773 0.932